Material: Co5SbO8
Method: DFT, PBE+U
State: relaxed

Total energy   -6.103 eV/atom
SG   C2/m
E above lowest polymorph   0.0065 eV per atom

```
28
Lattice="5.2212 -2.9802 0.0000 5.2212 2.9802 0.0000 -3.3991 0.0000 10.0511" Properties=species:S:1:pos:R:3 pbc="T T T"
Co 0.0000 0.0000 0.0000
Co 2.6106 1.4901 0.0000
Co 0.9110 1.4901 5.0256
Co -1.6846 0.0000 7.0684
Co 1.7611 0.0000 8.0521
Co 2.6106 -1.4901 0.0000
Co 0.9110 -1.4901 5.0256
Co 3.5217 0.0000 5.0256
Co 5.2822 0.0000 1.9990
Co 8.7279 0.0000 2.9827
Sb 1.7875 0.0000 2.4921
Sb 5.2558 0.0000 7.5590
O 0.7601 1.5808 8.8588
O 0.1644 0.0000 3.6288
O 2.5958 1.3706 3.6768
O -1.5852 0.0000 9.0695
O 3.3535 0.0000 1.1113
O 1.7753 0.0000 6.1213
O 6.2833 1.5808 1.1924
O 4.4476 1.3706 6.3743
O 2.5958 -1.3706 3.6768
O 0.7601 -1.5808 8.8588
O 5.2680 0.0000 3.9298
O 3.6898 0.0000 8.9398
O 8.6286 0.0000 0.9816
O 4.4476 -1.3706 6.3743
O 6.8789 0.0000 6.4223
O 6.2833 -1.5808 1.1924
```